# 1
A plane-wave DFT calculation with GGA-PBE was carried out for an optimized crystal structure of Ac2Mg4AlIn3.

The space group is P-4m2 (No. 115) and the conventional cell measures 4.756, 4.756 and 12.056 Å, with angles of 90.00, 90.00 and 90.00 degrees. The distinct sites, in fractional coordinates, are Ac at (0.000, 0.500, 0.241), Mg at (0.000, 0.000, 0.500), Mg at (0.000, 0.500, 0.870), Mg at (0.500, 0.500, 0.500), Al at (0.500, 0.500, 0.000), In at (0.000, 0.000, 0.000) and In at (0.000, 0.500, 0.641).

The formation energy comes out at -285 meV/atom. Its volume is 272.7 Å³/cell. The calculation puts the total magnetization at 0.00 μB/f.u. As for the density of states at the Fermi level: 0.422 states/eV per atom.

# 2
A plane-wave DFT calculation with GGA-PBE was carried out for an optimized crystal structure of Ac2MgAlIn6.

The space group is R-3m (No. 166, hexagonal axes) and the conventional cell measures 7.2152, 7.2152 and 38.8916 Å, with angles of 90.00, 90.00 and 120.00 degrees. The distinct sites, in fractional coordinates, are Ac at (0.0000, 0.0000, 0.1166), Ac at (0.0000, 0.0000, 0.2956), Mg at (0.0000, 0.0000, 0.0000), Mg at (0.0000, 0.0000, 0.5000), Al at (0.0000, 0.0000, 0.4296), In at (0.0369, 0.5184, 0.2906) and In at (0.0651, 0.5325, 0.8741).

The formation energy comes out at -163 meV/atom. Its volume is 1753.4 Å³/cell. The calculation puts the total magnetization at 0.00 μB/f.u. As for the density of states at the Fermi level: 0.535 states/eV per atom.

# 3
A plane-wave DFT calculation with GGA-PBE was carried out for an optimized crystal structure of AcMgAlIn.

The space group is F-43m (No. 216) and the conventional cell measures 7.600, 7.600 and 7.600 Å, with angles of 90.00, 90.00 and 90.00 degrees. The distinct sites, in fractional coordinates, are Ac at (0.000, 0.000, 0.000), Mg at (0.000, 0.000, 0.500), Al at (0.250, 0.250, 0.750) and In at (0.250, 0.250, 0.250).

The formation energy comes out at -168 meV/atom. Its volume is 439.0 Å³/cell. The calculation puts the total magnetization at 0.00 μB/f.u. As for the density of states at the Fermi level: 0.879 states/eV per atom.

# 4
A plane-wave DFT calculation with GGA-PBE was carried out for an optimized crystal structure of AcNdAlIn.

The space group is F-43m (No. 216) and the conventional cell measures 7.857, 7.857 and 7.857 Å, with angles of 90.00, 90.00 and 90.00 degrees. The distinct sites, in fractional coordinates, are Ac at (0.000, 0.000, 0.000), Nd at (0.000, 0.000, 0.500), Al at (0.250, 0.250, 0.750) and In at (0.250, 0.250, 0.250).

The formation energy comes out at -333 meV/atom. Its volume is 485.1 Å³/cell. The calculation puts the total magnetization at 0.00 μB/f.u. As for the density of states at the Fermi level: 0.467 states/eV per atom.

# 5
A plane-wave DFT calculation with GGA-PBE was carried out for an optimized crystal structure of Ac2Al4InPd3.

The space group is P-4m2 (No. 115) and the conventional cell measures 4.493, 4.493 and 10.816 Å, with angles of 90.00, 90.00 and 90.00 degrees. The distinct sites, in fractional coordinates, are Ac at (0.000, 0.500, 0.244), Al at (0.000, 0.000, 0.000), Al at (0.000, 0.500, 0.644), Al at (0.500, 0.500, 0.000), In at (0.000, 0.000, 0.500), Pd at (0.000, 0.500, 0.880) and Pd at (0.500, 0.500, 0.500).

The formation energy comes out at -712 meV/atom. Its volume is 218.4 Å³/cell. The calculation puts the total magnetization at 0.00 μB/f.u. As for the density of states at the Fermi level: 0.694 states/eV per atom.

# 6
A plane-wave DFT calculation with GGA-PBE was carried out for an optimized crystal structure of Ac2Al2InPd5.

The space group is P4/mbm (No. 127) and the conventional cell measures 10.791, 10.791 and 3.555 Å, with angles of 90.00, 90.00 and 90.00 degrees. The distinct sites, in fractional coordinates, are Ac at (0.181, 0.319, 0.000), Al at (0.118, 0.618, 0.000), In at (0.000, 0.000, 0.000), Pd at (0.000, 0.500, 0.500) and Pd at (0.057, 0.785, 0.500).

The formation energy comes out at -668 meV/atom. Its volume is 414.0 Å³/cell. The calculation puts the total magnetization at 0.00 μB/f.u. As for the density of states at the Fermi level: 0.555 states/eV per atom.